Record 1
Density functional theory data (PBE) for crystalline K2Ba2CuO4 at its relaxed geometry.

Lattice parameters (Å, degrees): 5.898 5.898 5.898 114.80 114.80 99.28
Element x y z (fractional)
1 K 0.168 0.168 0.000
2 K 0.832 0.832 0.000
3 Ba 0.250 0.750 0.500
4 Ba 0.750 0.250 0.500
5 Cu 0.500 0.500 0.000
6 O 0.273 0.273 0.545
7 O 0.273 0.727 0.000
8 O 0.727 0.273 0.000
9 O 0.727 0.727 0.455

Computed properties:
DFT total energy in eV per atom: -4.688


Record 2
Density functional theory data (PBE) for crystalline KBa2Cu2O6 at its relaxed geometry.

Lattice parameters (Å, degrees): 7.904 7.904 7.904 43.35 43.35 43.35
Element x y z (fractional)
1 K 0.000 0.000 0.000
2 Ba 0.207 0.207 0.207
3 Ba 0.793 0.793 0.793
4 Cu 0.432 0.432 0.432
5 Cu 0.568 0.568 0.568
6 O 0.216 0.739 0.739
7 O 0.261 0.261 0.784
8 O 0.261 0.784 0.261
9 O 0.739 0.216 0.739
10 O 0.739 0.739 0.216
11 O 0.784 0.261 0.261

Computed properties:
DFT total energy in eV per atom: -5.132